Mg3Tl2Cd3 | GGA-PBE | relaxed Values from VASP.

```
&SYSTEM
  ibrav = 0, nat = 8, ntyp = 3
/
ATOMIC_SPECIES
Mg 24.30 Mg.upf
Tl 204.38 Tl.upf
Cd 112.41 Cd.upf
ATOMIC_POSITIONS angstrom
Mg 0.000 0.000 0.000
Mg 0.000 0.000 3.786
Mg 2.497 2.520 0.000
Tl 2.497 0.000 1.868
Tl 2.497 0.000 5.704
Cd 0.000 2.520 1.869
Cd 0.000 2.520 5.703
Cd 2.497 2.520 3.786
CELL_PARAMETERS angstrom
4.993 0.000 0.000
0.000 5.040 0.000
0.000 0.000 7.572
```

## Properties
Formation energy, eV/atom: -0.02
D(E_F), states/eV per cell: 3.74
Raw total energy, eV/atom: -1.5506
Space group: Pmmm, No. 47

***

Mg6TlCd5 | GGA-PBE | relaxed Values from VASP.

```
&SYSTEM
  ibrav = 0, nat = 12, ntyp = 3
/
ATOMIC_SPECIES
Mg 24.30 Mg.upf
Tl 204.38 Tl.upf
Cd 112.41 Cd.upf
ATOMIC_POSITIONS angstrom
Mg 4.895 0.000 1.795
Mg -0.188 0.000 5.440
Mg 2.278 2.500 5.465
Mg 2.430 2.500 1.769
Mg 2.278 -2.500 5.465
Mg 2.430 -2.500 1.769
Tl 2.354 0.000 3.617
Cd 2.480 4.979 0.000
Cd 2.354 4.893 3.617
Cd 2.480 0.000 0.000
Cd 2.354 -4.893 3.617
Cd 2.480 -4.979 0.000
CELL_PARAMETERS angstrom
2.480 -7.410 0.000
2.480 7.410 0.000
-0.252 0.000 7.234
```

## Properties
Formation energy, eV/atom: -0.08
D(E_F), states/eV per cell: 3.80
Excess energy over the best structure of this formula in the dataset, meV/atom: 9
Raw total energy, eV/atom: -1.4509
Space group: C2/m, No. 12

***

Mg7TlCd2 | GGA-PBE | relaxed Values from VASP.

```
&SYSTEM
  ibrav = 0, nat = 20, ntyp = 3
/
ATOMIC_SPECIES
Mg 24.30 Mg.upf
Tl 204.38 Tl.upf
Cd 112.41 Cd.upf
ATOMIC_POSITIONS angstrom
Mg 3.664 2.484 1.502
Mg 2.263 3.161 6.133
Mg 1.396 1.174 3.413
Mg 0.099 1.507 7.701
Mg 6.780 2.484 2.586
Mg 4.427 1.507 4.565
Mg -1.564 -1.174 7.501
Mg 9.049 1.174 0.676
Mg 3.058 -1.507 3.612
Mg 0.705 -2.484 5.591
Mg 7.386 -1.507 0.476
Mg 6.089 -1.174 4.764
Mg 5.222 -3.161 2.044
Mg 3.821 -2.484 6.675
Tl 2.263 0.079 6.133
Tl 5.222 -0.079 2.044
Cd -1.141 0.059 4.843
Cd 1.819 -0.059 0.755
Cd 5.666 0.059 7.422
Cd 8.626 -0.059 3.334
CELL_PARAMETERS angstrom
6.702 -4.172 0.000
6.702 4.172 0.000
-5.919 0.000 8.177
```

## Properties
Formation energy, eV/atom: -0.04
D(E_F), states/eV per cell: 6.64
Raw total energy, eV/atom: -1.5725
Space group: C2/c, No. 15

***

Mg8Tl6Cd | GGA-PBE | relaxed Values from VASP.

```
&SYSTEM
  ibrav = 0, nat = 15, ntyp = 3
/
ATOMIC_SPECIES
Mg 24.30 Mg.upf
Tl 204.38 Tl.upf
Cd 112.41 Cd.upf
ATOMIC_POSITIONS angstrom
Mg -2.030 -0.161 7.110
Mg 0.000 0.000 4.416
Mg -0.875 -1.839 11.090
Mg 1.155 -1.677 7.110
Mg -1.155 1.677 11.090
Mg 0.875 1.839 7.110
Mg 0.000 0.000 13.785
Mg 2.030 0.161 11.090
Tl -1.207 -3.309 7.835
Tl -3.470 -0.609 10.366
Tl -2.262 2.700 7.835
Tl 2.262 -2.700 10.366
Tl 3.470 0.609 7.835
Tl 1.207 3.309 10.366
Cd 0.000 0.000 9.100
CELL_PARAMETERS angstrom
4.283 2.473 6.067
-4.283 2.473 6.067
0.000 -4.945 6.067
```

## Properties
Formation energy, eV/atom: 0.02
D(E_F), states/eV per cell: 4.51
Raw total energy, eV/atom: -1.8419
Space group: R-3, No. 148

***

Mg3TlCd3 | GGA-PBE | relaxed Values from VASP.

```
&SYSTEM
  ibrav = 0, nat = 14, ntyp = 3
/
ATOMIC_SPECIES
Mg 24.30 Mg.upf
Tl 204.38 Tl.upf
Cd 112.41 Cd.upf
ATOMIC_POSITIONS angstrom
Mg 0.000 0.000 1.568
Mg 0.000 0.000 4.901
Mg 2.480 2.581 1.587
Mg 2.480 2.581 4.882
Mg 2.480 -2.581 1.587
Mg 2.480 -2.581 4.882
Tl 3.037 0.000 3.235
Tl 6.883 0.000 3.235
Cd 4.960 2.630 3.235
Cd 2.732 0.000 0.000
Cd 4.960 2.145 0.000
Cd 4.960 -2.145 0.000
Cd 7.188 0.000 0.000
Cd 4.960 -2.630 3.235
CELL_PARAMETERS angstrom
4.960 -5.161 0.000
4.960 5.161 0.000
0.000 0.000 6.469
```

## Properties
Formation energy, eV/atom: -0.04
D(E_F), states/eV per cell: 6.06
Excess energy over the best structure of this formula in the dataset, meV/atom: 0
Raw total energy, eV/atom: -1.4516
Space group: Cmmm, No. 65

***

Mg7TlCd5 | GGA-PBE | relaxed Values from VASP.

```
&SYSTEM
  ibrav = 0, nat = 13, ntyp = 3
/
ATOMIC_SPECIES
Mg 24.30 Mg.upf
Tl 204.38 Tl.upf
Cd 112.41 Cd.upf
ATOMIC_POSITIONS angstrom
Mg 0.000 0.000 0.000
Mg 3.007 1.560 1.496
Mg 0.000 0.000 3.071
Mg 0.000 2.945 1.457
Mg 0.000 7.147 1.457
Mg 0.000 5.046 3.774
Mg 0.000 3.486 6.555
Tl 0.000 0.000 6.601
Cd 1.508 2.487 -1.055
Cd 4.507 2.487 -1.055
Cd 3.007 0.000 4.235
Cd -1.500 2.559 4.003
Cd 1.500 2.559 4.003
CELL_PARAMETERS angstrom
-3.007 5.046 5.059
3.007 -5.046 5.059
3.007 5.046 -5.059
```

## Properties
Formation energy, eV/atom: -0.03
D(E_F), states/eV per cell: 5.83
Raw total energy, eV/atom: -1.4214
Space group: Imm2, No. 44

***

Mg6Tl12Cd | GGA-PBE | relaxed Values from VASP.

```
&SYSTEM
  ibrav = 0, nat = 19, ntyp = 3
/
ATOMIC_SPECIES
Mg 24.30 Mg.upf
Tl 204.38 Tl.upf
Cd 112.41 Cd.upf
ATOMIC_POSITIONS angstrom
Mg -3.760 -0.377 2.712
Mg 2.206 -3.067 2.712
Mg -1.553 -3.445 5.776
Mg 1.553 3.445 2.712
Mg -2.206 3.067 5.776
Mg 3.760 0.377 5.776
Tl -0.423 -4.989 2.897
Tl -4.109 2.861 2.897
Tl -0.887 -1.752 2.837
Tl -4.532 -2.128 5.590
Tl -1.074 1.645 2.837
Tl 1.961 0.108 2.837
Tl -1.961 -0.108 5.650
Tl 1.074 -1.645 5.650
Tl 4.532 2.128 2.897
Tl 0.887 1.752 5.650
Tl 4.109 -2.861 5.590
Tl 0.423 4.989 5.590
Cd 0.000 0.000 0.000
CELL_PARAMETERS angstrom
7.241 4.180 2.829
-7.241 4.180 2.829
0.000 -8.361 2.829
```

## Properties
Formation energy, eV/atom: 0.03
D(E_F), states/eV per cell: 11.16
Excess energy over the best structure of this formula in the dataset, meV/atom: 0
Raw total energy, eV/atom: -2.0200
Space group: R-3, No. 148

***

Mg5Tl5Cd2 | GGA-PBE | relaxed Values from VASP.

```
&SYSTEM
  ibrav = 0, nat = 12, ntyp = 3
/
ATOMIC_SPECIES
Mg 24.30 Mg.upf
Tl 204.38 Tl.upf
Cd 112.41 Cd.upf
ATOMIC_POSITIONS angstrom
Mg 0.000 0.000 0.000
Mg -2.413 0.000 6.918
Mg 2.453 0.000 2.369
Mg 7.353 0.000 6.964
Mg 12.220 0.000 2.415
Tl 4.874 0.000 0.078
Tl 2.409 0.000 6.992
Tl 4.903 0.000 4.667
Tl 7.398 0.000 2.341
Tl 4.933 0.000 9.255
Cd 0.068 0.000 4.744
Cd 9.738 0.000 4.590
CELL_PARAMETERS angstrom
7.312 -2.192 0.000
7.312 2.192 0.000
-4.817 0.000 9.333
```

## Properties
Formation energy, eV/atom: -0.01
D(E_F), states/eV per cell: 5.23
Excess energy over the best structure of this formula in the dataset, meV/atom: 0
Raw total energy, eV/atom: -1.8082
Space group: C2/m, No. 12

***

Mg5Tl2Cd | GGA-PBE | relaxed Values from VASP.

```
&SYSTEM
  ibrav = 0, nat = 8, ntyp = 3
/
ATOMIC_SPECIES
Mg 24.30 Mg.upf
Tl 204.38 Tl.upf
Cd 112.41 Cd.upf
ATOMIC_POSITIONS angstrom
Mg 0.000 0.000 0.000
Mg 1.638 2.153 1.661
Mg 1.631 -2.105 5.042
Mg 1.638 6.362 1.661
Mg 1.631 2.105 5.042
Tl 3.270 0.000 3.337
Tl 0.000 4.257 3.360
Cd 0.000 0.000 3.326
CELL_PARAMETERS angstrom
-3.270 4.257 3.382
3.270 -4.257 3.382
3.270 4.257 -3.382
```

## Properties
Formation energy, eV/atom: -0.03
D(E_F), states/eV per cell: 4.09
Excess energy over the best structure of this formula in the dataset, meV/atom: 4
Raw total energy, eV/atom: -1.7283
Space group: Imm2, No. 44

***

MgTlCd2 | GGA-PBE | relaxed Values from VASP.

```
&SYSTEM
  ibrav = 0, nat = 4, ntyp = 3
/
ATOMIC_SPECIES
Mg 24.30 Mg.upf
Tl 204.38 Tl.upf
Cd 112.41 Cd.upf
ATOMIC_POSITIONS angstrom
Mg 0.000 0.000 0.000
Tl 5.492 5.492 5.492
Cd 1.831 1.831 1.831
Cd 3.661 3.661 3.661
CELL_PARAMETERS angstrom
0.000 3.661 3.661
3.661 0.000 3.661
3.661 3.661 0.000
```

## Properties
Formation energy, eV/atom: 0.02
D(E_F), states/eV per cell: 0.80
Excess energy over the best structure of this formula in the dataset, meV/atom: 37
Raw total energy, eV/atom: -1.4305
Space group: F-43m, No. 216

***

Mg7Tl3Cd2 | GGA-PBE | relaxed Values from VASP.

```
&SYSTEM
  ibrav = 0, nat = 12, ntyp = 3
/
ATOMIC_SPECIES
Mg 24.30 Mg.upf
Tl 204.38 Tl.upf
Cd 112.41 Cd.upf
ATOMIC_POSITIONS angstrom
Mg 0.000 0.000 0.000
Mg 2.513 10.167 2.509
Mg 2.513 5.330 0.000
Mg 2.513 1.905 0.000
Mg 2.513 -1.905 0.000
Mg 2.513 -5.330 0.000
Mg 2.513 -10.167 2.509
Tl 2.513 3.805 2.509
Tl 2.513 0.000 2.509
Tl 2.513 -3.805 2.509
Cd 2.513 8.399 0.000
Cd 2.513 -8.399 0.000
CELL_PARAMETERS angstrom
2.513 -12.069 0.000
2.513 12.069 0.000
0.000 0.000 5.017
```

## Properties
Formation energy, eV/atom: 0.03
D(E_F), states/eV per cell: 4.29
Raw total energy, eV/atom: -1.6445
Space group: Cmmm, No. 65

***

Mg2TlCd9 | GGA-PBE | relaxed Values from VASP.

```
&SYSTEM
  ibrav = 0, nat = 12, ntyp = 3
/
ATOMIC_SPECIES
Mg 24.30 Mg.upf
Tl 204.38 Tl.upf
Cd 112.41 Cd.upf
ATOMIC_POSITIONS angstrom
Mg 0.000 0.000 2.192
Mg 0.000 0.000 11.434
Tl 0.000 0.000 6.813
Cd 0.000 2.256 0.000
Cd 0.000 2.256 4.361
Cd 0.000 2.256 9.265
Cd 2.256 0.000 0.000
Cd 2.256 0.000 4.361
Cd 2.256 0.000 9.265
Cd 2.256 2.256 2.179
Cd 2.256 2.256 6.813
Cd 2.256 2.256 11.446
CELL_PARAMETERS angstrom
4.512 0.000 0.000
0.000 4.512 0.000
0.000 0.000 13.625
```

## Properties
Formation energy, eV/atom: -0.02
D(E_F), states/eV per cell: 5.92
Excess energy over the best structure of this formula in the dataset, meV/atom: 0
Raw total energy, eV/atom: -1.1652
Space group: P4/mmm, No. 123

***

Copy entry 5 word for word.
Mg3TlCd3 | GGA-PBE | relaxed Values from VASP.

```
&SYSTEM
  ibrav = 0, nat = 14, ntyp = 3
/
ATOMIC_SPECIES
Mg 24.30 Mg.upf
Tl 204.38 Tl.upf
Cd 112.41 Cd.upf
ATOMIC_POSITIONS angstrom
Mg 0.000 0.000 1.568
Mg 0.000 0.000 4.901
Mg 2.480 2.581 1.587
Mg 2.480 2.581 4.882
Mg 2.480 -2.581 1.587
Mg 2.480 -2.581 4.882
Tl 3.037 0.000 3.235
Tl 6.883 0.000 3.235
Cd 4.960 2.630 3.235
Cd 2.732 0.000 0.000
Cd 4.960 2.145 0.000
Cd 4.960 -2.145 0.000
Cd 7.188 0.000 0.000
Cd 4.960 -2.630 3.235
CELL_PARAMETERS angstrom
4.960 -5.161 0.000
4.960 5.161 0.000
0.000 0.000 6.469
```

## Properties
Formation energy, eV/atom: -0.04
D(E_F), states/eV per cell: 6.06
Excess energy over the best structure of this formula in the dataset, meV/atom: 0
Raw total energy, eV/atom: -1.4516
Space group: Cmmm, No. 65

***

Repeat the twelfth record exactly.
Mg2TlCd9 | GGA-PBE | relaxed Values from VASP.

```
&SYSTEM
  ibrav = 0, nat = 12, ntyp = 3
/
ATOMIC_SPECIES
Mg 24.30 Mg.upf
Tl 204.38 Tl.upf
Cd 112.41 Cd.upf
ATOMIC_POSITIONS angstrom
Mg 0.000 0.000 2.192
Mg 0.000 0.000 11.434
Tl 0.000 0.000 6.813
Cd 0.000 2.256 0.000
Cd 0.000 2.256 4.361
Cd 0.000 2.256 9.265
Cd 2.256 0.000 0.000
Cd 2.256 0.000 4.361
Cd 2.256 0.000 9.265
Cd 2.256 2.256 2.179
Cd 2.256 2.256 6.813
Cd 2.256 2.256 11.446
CELL_PARAMETERS angstrom
4.512 0.000 0.000
0.000 4.512 0.000
0.000 0.000 13.625
```

## Properties
Formation energy, eV/atom: -0.02
D(E_F), states/eV per cell: 5.92
Excess energy over the best structure of this formula in the dataset, meV/atom: 0
Raw total energy, eV/atom: -1.1652
Space group: P4/mmm, No. 123

***

Repeat the fifth record exactly.
Mg3TlCd3 | GGA-PBE | relaxed Values from VASP.

```
&SYSTEM
  ibrav = 0, nat = 14, ntyp = 3
/
ATOMIC_SPECIES
Mg 24.30 Mg.upf
Tl 204.38 Tl.upf
Cd 112.41 Cd.upf
ATOMIC_POSITIONS angstrom
Mg 0.000 0.000 1.568
Mg 0.000 0.000 4.901
Mg 2.480 2.581 1.587
Mg 2.480 2.581 4.882
Mg 2.480 -2.581 1.587
Mg 2.480 -2.581 4.882
Tl 3.037 0.000 3.235
Tl 6.883 0.000 3.235
Cd 4.960 2.630 3.235
Cd 2.732 0.000 0.000
Cd 4.960 2.145 0.000
Cd 4.960 -2.145 0.000
Cd 7.188 0.000 0.000
Cd 4.960 -2.630 3.235
CELL_PARAMETERS angstrom
4.960 -5.161 0.000
4.960 5.161 0.000
0.000 0.000 6.469
```

## Properties
Formation energy, eV/atom: -0.04
D(E_F), states/eV per cell: 6.06
Excess energy over the best structure of this formula in the dataset, meV/atom: 0
Raw total energy, eV/atom: -1.4516
Space group: Cmmm, No. 65